# 1
! KSb2TeAu PBE optimized geometry; values from VASP
&SYSTEM
  ibrav = 0, nat = 5, ntyp = 4
/
ATOMIC_SPECIES
K 39.10 K.upf
Sb 121.76 Sb.upf
Te 127.60 Te.upf
Au 196.97 Au.upf
ATOMIC_POSITIONS crystal
K 0.0000 0.0000 0.0000
Sb 0.0000 0.5000 0.0000
Sb 0.5000 0.0000 0.0000
Te 0.0000 0.0000 0.5000
Au 0.5000 0.5000 0.5000
CELL_PARAMETERS angstrom
5.8672 0.0000 0.0000
0.0000 5.8672 0.0000
0.0000 0.0000 5.8281
! Total moment, μB per cell: 0.25
! Formation energy (no corrections), eV/atom: 1.34



# 2
! KThSb2Au2 PBE optimized geometry; values from VASP
&SYSTEM
  ibrav = 0, nat = 6, ntyp = 4
/
ATOMIC_SPECIES
K 39.10 K.upf
Th 232.04 Th.upf
Sb 121.76 Sb.upf
Au 196.97 Au.upf
ATOMIC_POSITIONS crystal
K 0.0000 0.0000 0.0000
Th 0.0000 0.0000 0.5000
Sb 0.3333 0.6667 0.7360
Sb 0.6667 0.3333 0.2640
Au 0.3333 0.6667 0.3230
Au 0.6667 0.3333 0.6770
CELL_PARAMETERS angstrom
4.6653 0.0000 0.0000
-2.3326 4.0402 0.0000
0.0000 0.0000 9.4614
! Total moment, μB per cell: 0.00
! Formation energy (no corrections), eV/atom: -0.66



# 3
! KTl2Sb2Au PBE optimized geometry; values from VASP
&SYSTEM
  ibrav = 0, nat = 12, ntyp = 4
/
ATOMIC_SPECIES
K 39.10 K.upf
Tl 204.38 Tl.upf
Sb 121.76 Sb.upf
Au 196.97 Au.upf
ATOMIC_POSITIONS crystal
K 0.0000 0.0000 0.0000
K 0.5000 0.5000 0.5000
Tl 0.0000 0.5000 0.2500
Tl 0.0000 0.5000 0.7500
Tl 0.5000 0.0000 0.2500
Tl 0.5000 0.0000 0.7500
Sb 0.0000 0.0000 0.3410
Sb 0.0000 0.0000 0.6590
Sb 0.5000 0.5000 0.1590
Sb 0.5000 0.5000 0.8410
Au 0.0000 0.0000 0.5000
Au 0.5000 0.5000 0.0000
CELL_PARAMETERS angstrom
5.4257 0.0000 0.0000
0.0000 5.4257 0.0000
0.0000 0.0000 16.4011
! Total moment, μB per cell: 0.00
! Formation energy (no corrections), eV/atom: -0.14



# 4
! K2TlSb2Au PBE optimized geometry; values from VASP
&SYSTEM
  ibrav = 0, nat = 12, ntyp = 4
/
ATOMIC_SPECIES
K 39.10 K.upf
Tl 204.38 Tl.upf
Sb 121.76 Sb.upf
Au 196.97 Au.upf
ATOMIC_POSITIONS crystal
K 0.1660 0.2434 0.4094
K 0.3340 0.7434 0.0774
K 0.6660 0.2566 0.9226
K 0.8340 0.7566 0.5906
Tl 0.2500 0.2500 0.0000
Tl 0.7500 0.7500 0.0000
Sb 0.1029 0.7233 0.8261
Sb 0.3971 0.2233 0.6204
Sb 0.6029 0.7767 0.3796
Sb 0.8971 0.2767 0.1739
Au 0.2500 0.7500 0.5000
Au 0.7500 0.2500 0.5000
CELL_PARAMETERS angstrom
-3.4878 8.0843 3.5349
3.4878 -8.0843 3.5349
3.4878 8.0843 -3.5349
! Total moment, μB per cell: 0.00
! Formation energy (no corrections), eV/atom: -0.28



# 5
! KTmSb2Au2 PBE optimized geometry; values from VASP
&SYSTEM
  ibrav = 0, nat = 6, ntyp = 4
/
ATOMIC_SPECIES
K 39.10 K.upf
Tm 168.93 Tm.upf
Sb 121.76 Sb.upf
Au 196.97 Au.upf
ATOMIC_POSITIONS crystal
K 0.0000 0.0000 0.0000
Tm 0.0000 0.0000 0.5000
Sb 0.3333 0.6667 0.7285
Sb 0.6667 0.3333 0.2715
Au 0.3333 0.6667 0.3360
Au 0.6667 0.3333 0.6640
CELL_PARAMETERS angstrom
4.6421 0.0000 0.0000
-2.3211 4.0202 0.0000
0.0000 0.0000 9.1657
! Total moment, μB per cell: 0.00
! Formation energy (no corrections), eV/atom: -0.67



# 6
! KUSb2Au2 PBE optimized geometry; values from VASP
&SYSTEM
  ibrav = 0, nat = 6, ntyp = 4
/
ATOMIC_SPECIES
K 39.10 K.upf
U 238.03 U.upf
Sb 121.76 Sb.upf
Au 196.97 Au.upf
ATOMIC_POSITIONS crystal
K 0.0000 0.0000 0.0000
U 0.0000 0.0000 0.5000
Sb 0.3333 0.6667 0.7298
Sb 0.6667 0.3333 0.2702
Au 0.3333 0.6667 0.3287
Au 0.6667 0.3333 0.6713
CELL_PARAMETERS angstrom
4.6705 0.0000 0.0000
-2.3353 4.0448 0.0000
0.0000 0.0000 9.2533
! Total moment, μB per cell: 2.64
! Formation energy (no corrections), eV/atom: -0.38



# 7
! K2YSb4Au3 PBE optimized geometry; values from VASP
&SYSTEM
  ibrav = 0, nat = 10, ntyp = 4
/
ATOMIC_SPECIES
K 39.10 K.upf
Y 88.91 Y.upf
Sb 121.76 Sb.upf
Au 196.97 Au.upf
ATOMIC_POSITIONS crystal
K 0.0000 0.5000 0.2418
K 0.5000 0.0000 0.7582
Y 0.0000 0.0000 0.5000
Sb 0.0000 0.0000 0.0000
Sb 0.0000 0.5000 0.6444
Sb 0.5000 0.0000 0.3556
Sb 0.5000 0.5000 0.0000
Au 0.0000 0.5000 0.8711
Au 0.5000 0.0000 0.1289
Au 0.5000 0.5000 0.5000
CELL_PARAMETERS angstrom
4.8066 0.0000 0.0000
0.0000 4.8066 0.0000
0.0000 0.0000 12.2818
! Total moment, μB per cell: 0.00
! Formation energy (no corrections), eV/atom: -0.48



# 8
! K2ZnSb4Au3 PBE optimized geometry; values from VASP
&SYSTEM
  ibrav = 0, nat = 10, ntyp = 4
/
ATOMIC_SPECIES
K 39.10 K.upf
Zn 65.41 Zn.upf
Sb 121.76 Sb.upf
Au 196.97 Au.upf
ATOMIC_POSITIONS crystal
K 0.0000 0.5000 0.2434
K 0.5000 0.0000 0.7566
Zn 0.5000 0.5000 0.0000
Sb 0.0000 0.0000 0.5000
Sb 0.0000 0.5000 0.8707
Sb 0.5000 0.0000 0.1293
Sb 0.5000 0.5000 0.5000
Au 0.0000 0.0000 0.0000
Au 0.0000 0.5000 0.6366
Au 0.5000 0.0000 0.3634
CELL_PARAMETERS angstrom
4.7880 0.0000 0.0000
0.0000 4.7880 0.0000
0.0000 0.0000 11.6557
! Total moment, μB per cell: 0.00
! Formation energy (no corrections), eV/atom: -0.29



# 9
! KScAu3 PBE optimized geometry; values from VASP
&SYSTEM
  ibrav = 0, nat = 5, ntyp = 3
/
ATOMIC_SPECIES
K 39.10 K.upf
Sc 44.96 Sc.upf
Au 196.97 Au.upf
ATOMIC_POSITIONS crystal
K 0.0000 0.0000 0.0000
Sc 0.5000 0.5000 0.5000
Au 0.0000 0.5000 0.5000
Au 0.5000 0.0000 0.5000
Au 0.5000 0.5000 0.0000
CELL_PARAMETERS angstrom
5.3049 0.0000 0.0000
0.0000 5.3049 0.0000
0.0000 0.0000 5.3049
! Total moment, μB per cell: 0.00
! Calculated formation energy, meV/atom: -133



# 10
! KScAu PBE optimized geometry; values from VASP
&SYSTEM
  ibrav = 0, nat = 6, ntyp = 3
/
ATOMIC_SPECIES
K 39.10 K.upf
Sc 44.96 Sc.upf
Au 196.97 Au.upf
ATOMIC_POSITIONS crystal
K 0.0000 0.0000 0.0000
K 0.5000 0.5000 0.5000
Sc 0.0000 0.0000 0.7391
Sc 0.5000 0.5000 0.2391
Au 0.0000 0.0000 0.3195
Au 0.5000 0.5000 0.8195
CELL_PARAMETERS angstrom
3.5946 0.0000 0.0000
0.0000 3.5946 0.0000
0.0000 0.0000 14.0392
! Total moment, μB per cell: 0.00
! Calculated formation energy, meV/atom: -199



# 11
! KScAu2 PBE optimized geometry; values from VASP
&SYSTEM
  ibrav = 0, nat = 4, ntyp = 3
/
ATOMIC_SPECIES
K 39.10 K.upf
Sc 44.96 Sc.upf
Au 196.97 Au.upf
ATOMIC_POSITIONS crystal
K 0.0000 0.0000 0.0000
Sc 0.5000 0.5000 0.4706
Au 0.0000 0.0000 0.3643
Au 0.5000 0.5000 0.7728
CELL_PARAMETERS angstrom
3.7005 0.0000 0.0000
0.0000 3.7005 0.0000
0.0000 0.0000 8.7664
! Total moment, μB per cell: 0.00
! Calculated formation energy, meV/atom: -176



# 12
! KScAu2 PBE optimized geometry; values from VASP
&SYSTEM
  ibrav = 0, nat = 4, ntyp = 3
/
ATOMIC_SPECIES
K 39.10 K.upf
Sc 44.96 Sc.upf
Au 196.97 Au.upf
ATOMIC_POSITIONS crystal
K 0.0000 0.0000 0.0000
Sc 0.5000 0.5000 0.4024
Au 0.0000 0.0000 0.5453
Au 0.5000 0.5000 0.7308
CELL_PARAMETERS angstrom
3.6141 0.0000 0.0000
0.0000 3.6141 0.0000
0.0000 0.0000 8.3095
! Total moment, μB per cell: 0.00
! Calculated formation energy, meV/atom: -213



# 13
! K3ScAu PBE optimized geometry; values from VASP
&SYSTEM
  ibrav = 0, nat = 5, ntyp = 3
/
ATOMIC_SPECIES
K 39.10 K.upf
Sc 44.96 Sc.upf
Au 196.97 Au.upf
ATOMIC_POSITIONS crystal
K 0.0000 0.0000 0.5000
K 0.0000 0.5000 0.0000
K 0.5000 0.0000 0.0000
Sc 0.0000 0.0000 0.0000
Au 0.5000 0.5000 0.5000
CELL_PARAMETERS angstrom
6.9479 0.0000 0.0000
0.0000 6.9479 0.0000
0.0000 0.0000 6.9479
! Total moment, μB per cell: 3.00
! Calculated formation energy, meV/atom: 902



# 14
! KScAu2 PBE optimized geometry; values from VASP
&SYSTEM
  ibrav = 0, nat = 8, ntyp = 3
/
ATOMIC_SPECIES
K 39.10 K.upf
Sc 44.96 Sc.upf
Au 196.97 Au.upf
ATOMIC_POSITIONS crystal
K 0.0000 0.0000 0.0000
K 0.5000 0.5000 0.0000
Sc 0.3197 0.5000 0.4559
Sc 0.8197 0.0000 0.4559
Au 0.1979 0.0000 0.5891
Au 0.4603 0.0000 0.3791
Au 0.6979 0.5000 0.5891
Au 0.9603 0.5000 0.3791
CELL_PARAMETERS angstrom
7.9993 0.0000 0.0000
0.0000 4.6220 0.0000
-2.6973 0.0000 6.6428
! Total moment, μB per cell: 0.00
! Calculated formation energy, meV/atom: -324



# 15
! KScAu PBE optimized geometry; values from VASP
&SYSTEM
  ibrav = 0, nat = 3, ntyp = 3
/
ATOMIC_SPECIES
K 39.10 K.upf
Sc 44.96 Sc.upf
Au 196.97 Au.upf
ATOMIC_POSITIONS crystal
K 0.0000 0.0000 0.0000
Sc 0.6667 0.3333 0.5000
Au 0.3333 0.6667 0.5000
CELL_PARAMETERS angstrom
4.6419 0.0000 0.0000
-2.3210 4.0200 0.0000
0.0000 0.0000 5.5834
! Total moment, μB per cell: 0.00
! Calculated formation energy, meV/atom: 26



# 16
! KScAu2 PBE optimized geometry; values from VASP
&SYSTEM
  ibrav = 0, nat = 8, ntyp = 3
/
ATOMIC_SPECIES
K 39.10 K.upf
Sc 44.96 Sc.upf
Au 196.97 Au.upf
ATOMIC_POSITIONS crystal
K 0.0000 0.0000 0.0000
K 0.5000 0.5000 0.5000
Sc 0.0000 0.5000 0.7960
Sc 0.5000 0.0000 0.2960
Au 0.0000 0.0000 0.5052
Au 0.0000 0.5000 0.2293
Au 0.5000 0.0000 0.7293
Au 0.5000 0.5000 0.0052
CELL_PARAMETERS angstrom
3.2537 0.0000 0.0000
0.0000 5.1889 0.0000
0.0000 0.0000 11.2389
! Total moment, μB per cell: 0.00
! Calculated formation energy, meV/atom: -198



# 17
! KScAu2 PBE optimized geometry; values from VASP
&SYSTEM
  ibrav = 0, nat = 16, ntyp = 3
/
ATOMIC_SPECIES
K 39.10 K.upf
Sc 44.96 Sc.upf
Au 196.97 Au.upf
ATOMIC_POSITIONS crystal
K 0.0000 0.0000 0.0000
K 0.0000 0.5000 0.2500
K 0.5000 0.0000 0.7500
K 0.5000 0.5000 0.5000
Sc 0.0000 0.0000 0.5000
Sc 0.0000 0.5000 0.7500
Sc 0.5000 0.0000 0.2500
Sc 0.5000 0.5000 0.0000
Au 0.1938 0.2500 0.6250
Au 0.2500 0.6938 0.8750
Au 0.2500 0.8062 0.3750
Au 0.3062 0.2500 0.1250
Au 0.6938 0.7500 0.1250
Au 0.7500 0.1938 0.3750
Au 0.7500 0.3062 0.8750
Au 0.8062 0.7500 0.6250
CELL_PARAMETERS angstrom
7.9559 0.0000 0.0000
0.0000 7.9559 0.0000
0.0000 0.0000 7.2095
! Total moment, μB per cell: 0.00
! Calculated formation energy, meV/atom: -105



# 18
! KSc2Au2 PBE optimized geometry; values from VASP
&SYSTEM
  ibrav = 0, nat = 10, ntyp = 3
/
ATOMIC_SPECIES
K 39.10 K.upf
Sc 44.96 Sc.upf
Au 196.97 Au.upf
ATOMIC_POSITIONS crystal
K 0.0000 0.0000 0.0000
K 0.5000 0.5000 0.0000
Sc 0.1363 0.3637 0.0000
Sc 0.3637 0.8637 0.0000
Sc 0.6363 0.1363 0.0000
Sc 0.8637 0.6363 0.0000
Au 0.1533 0.6533 0.5000
Au 0.3467 0.1533 0.5000
Au 0.6533 0.8467 0.5000
Au 0.8467 0.3467 0.5000
CELL_PARAMETERS angstrom
8.4133 0.0000 0.0000
0.0000 8.4133 0.0000
0.0000 0.0000 3.2345
! Total moment, μB per cell: 0.00
! Calculated formation energy, meV/atom: -378



# 19
! KSc3Au PBE optimized geometry; values from VASP
&SYSTEM
  ibrav = 0, nat = 5, ntyp = 3
/
ATOMIC_SPECIES
K 39.10 K.upf
Sc 44.96 Sc.upf
Au 196.97 Au.upf
ATOMIC_POSITIONS crystal
K 0.0000 0.0000 0.0000
Sc 0.0000 0.5000 0.5000
Sc 0.5000 0.0000 0.5000
Sc 0.5000 0.5000 0.0000
Au 0.5000 0.5000 0.5000
CELL_PARAMETERS angstrom
5.3728 0.0000 0.0000
0.0000 5.3728 0.0000
0.0000 0.0000 5.3728
! Total moment, μB per cell: 1.22
! Calculated formation energy, meV/atom: 160



# 20
! KScAu2 PBE optimized geometry; values from VASP
&SYSTEM
  ibrav = 0, nat = 8, ntyp = 3
/
ATOMIC_SPECIES
K 39.10 K.upf
Sc 44.96 Sc.upf
Au 196.97 Au.upf
ATOMIC_POSITIONS crystal
K 0.0000 0.0000 0.0000
K 0.5000 0.5000 0.5000
Sc 0.0000 0.5000 0.7500
Sc 0.5000 0.0000 0.2500
Au 0.0000 0.0000 0.5000
Au 0.0000 0.5000 0.2500
Au 0.5000 0.0000 0.7500
Au 0.5000 0.5000 0.0000
CELL_PARAMETERS angstrom
4.3016 0.0000 0.0000
0.0000 4.3016 0.0000
0.0000 0.0000 9.8273
! Total moment, μB per cell: 0.65
! Calculated formation energy, meV/atom: -80



# 21
! KSc3Au PBE optimized geometry; values from VASP
&SYSTEM
  ibrav = 0, nat = 5, ntyp = 3
/
ATOMIC_SPECIES
K 39.10 K.upf
Sc 44.96 Sc.upf
Au 196.97 Au.upf
ATOMIC_POSITIONS crystal
K 0.0000 0.0000 0.0000
Sc 0.0000 0.0000 0.5000
Sc 0.0000 0.5000 0.0000
Sc 0.5000 0.0000 0.0000
Au 0.5000 0.5000 0.5000
CELL_PARAMETERS angstrom
4.7960 0.0000 0.0000
0.0000 4.7960 0.0000
0.0000 0.0000 4.7960
! Total moment, μB per cell: 0.00
! Calculated formation energy, meV/atom: 1296



# 22
! KScAu2 PBE optimized geometry; values from VASP
&SYSTEM
  ibrav = 0, nat = 16, ntyp = 3
/
ATOMIC_SPECIES
K 39.10 K.upf
Sc 44.96 Sc.upf
Au 196.97 Au.upf
ATOMIC_POSITIONS crystal
K 0.0000 0.0000 0.0000
K 0.0000 0.5000 0.5000
K 0.5000 0.0000 0.5000
K 0.5000 0.5000 0.0000
Sc 0.0000 0.0000 0.5000
Sc 0.0000 0.5000 0.0000
Sc 0.5000 0.0000 0.0000
Sc 0.5000 0.5000 0.5000
Au 0.2500 0.2500 0.2500
Au 0.2500 0.2500 0.7500
Au 0.2500 0.7500 0.2500
Au 0.2500 0.7500 0.7500
Au 0.7500 0.2500 0.2500
Au 0.7500 0.2500 0.7500
Au 0.7500 0.7500 0.2500
Au 0.7500 0.7500 0.7500
CELL_PARAMETERS angstrom
7.1683 0.0000 0.0000
0.0000 7.1683 0.0000
0.0000 0.0000 7.1683
! Total moment, μB per cell: 0.00
! Calculated formation energy, meV/atom: -179



# 23
! KScAu4 PBE optimized geometry; values from VASP
&SYSTEM
  ibrav = 0, nat = 6, ntyp = 3
/
ATOMIC_SPECIES
K 39.10 K.upf
Sc 44.96 Sc.upf
Au 196.97 Au.upf
ATOMIC_POSITIONS crystal
K 0.0000 0.0000 0.0000
Sc 0.7500 0.7500 0.7500
Au 0.3752 0.3752 0.3752
Au 0.3752 0.3752 0.8744
Au 0.3752 0.8744 0.3752
Au 0.8744 0.3752 0.3752
CELL_PARAMETERS angstrom
0.0000 4.0047 4.0047
4.0047 0.0000 4.0047
4.0047 4.0047 0.0000
! Total moment, μB per cell: 0.06
! Calculated formation energy, meV/atom: -187



# 24
! KScAu2 PBE optimized geometry; values from VASP
&SYSTEM
  ibrav = 0, nat = 4, ntyp = 3
/
ATOMIC_SPECIES
K 39.10 K.upf
Sc 44.96 Sc.upf
Au 196.97 Au.upf
ATOMIC_POSITIONS crystal
K 0.0000 0.0000 0.0000
Sc 0.0000 0.5000 0.5039
Au 0.5000 0.0000 0.5000
Au 0.5000 0.5000 0.0087
CELL_PARAMETERS angstrom
3.2665 0.0000 0.0000
0.0000 5.3049 0.0000
0.0000 0.0000 5.3055
! Total moment, μB per cell: 0.00
! Calculated formation energy, meV/atom: -295



# 25
! KScAu3 PBE optimized geometry; values from VASP
&SYSTEM
  ibrav = 0, nat = 5, ntyp = 3
/
ATOMIC_SPECIES
K 39.10 K.upf
Sc 44.96 Sc.upf
Au 196.97 Au.upf
ATOMIC_POSITIONS crystal
K 0.0000 0.0000 0.0000
Sc 0.5000 0.5000 0.5000
Au 0.0000 0.0000 0.5000
Au 0.0000 0.5000 0.0000
Au 0.5000 0.0000 0.0000
CELL_PARAMETERS angstrom
5.3520 0.0000 0.0000
0.0000 5.3520 0.0000
0.0000 0.0000 5.3520
! Total moment, μB per cell: 0.00
! Calculated formation energy, meV/atom: 909



# 26
! KScAu PBE optimized geometry; values from VASP
&SYSTEM
  ibrav = 0, nat = 3, ntyp = 3
/
ATOMIC_SPECIES
K 39.10 K.upf
Sc 44.96 Sc.upf
Au 196.97 Au.upf
ATOMIC_POSITIONS crystal
K 0.0000 0.0000 0.0000
Sc 0.6667 0.3333 0.4724
Au 0.3333 0.6667 0.6602
CELL_PARAMETERS angstrom
3.9231 0.0000 0.0000
-1.9616 3.3975 0.0000
0.0000 0.0000 7.5186
! Total moment, μB per cell: 0.30
! Calculated formation energy, meV/atom: -53



# 27
! KScAu2 PBE optimized geometry; values from VASP
&SYSTEM
  ibrav = 0, nat = 8, ntyp = 3
/
ATOMIC_SPECIES
K 39.10 K.upf
Sc 44.96 Sc.upf
Au 196.97 Au.upf
ATOMIC_POSITIONS crystal
K 0.0000 0.0000 0.0000
K 0.5000 0.5000 0.0000
Sc 0.0000 0.5000 0.5000
Sc 0.5000 0.0000 0.5000
Au 0.2299 0.0000 0.6893
Au 0.2701 0.5000 0.3107
Au 0.7299 0.5000 0.6893
Au 0.7701 0.0000 0.3107
CELL_PARAMETERS angstrom
6.9737 0.0000 0.0000
0.0000 3.9357 0.0000
-2.1945 0.0000 8.1333
! Total moment, μB per cell: 0.00
! Calculated formation energy, meV/atom: -354



# 28
! KSc2Au2 PBE optimized geometry; values from VASP
&SYSTEM
  ibrav = 0, nat = 10, ntyp = 3
/
ATOMIC_SPECIES
K 39.10 K.upf
Sc 44.96 Sc.upf
Au 196.97 Au.upf
ATOMIC_POSITIONS crystal
K 0.0000 0.0000 0.0000
K 0.5000 0.5000 0.5000
Sc 0.0000 0.5000 0.2500
Sc 0.0000 0.5000 0.7500
Sc 0.5000 0.0000 0.2500
Sc 0.5000 0.0000 0.7500
Au 0.0000 0.0000 0.3787
Au 0.0000 0.0000 0.6213
Au 0.5000 0.5000 0.1213
Au 0.5000 0.5000 0.8787
CELL_PARAMETERS angstrom
4.7351 0.0000 0.0000
0.0000 4.7351 0.0000
0.0000 0.0000 11.6520
! Total moment, μB per cell: 0.00
! Calculated formation energy, meV/atom: -354



Density of states at the Fermi level, record by record: 5.2, 3.4, 2.9, 4.2, 1.7, 5.2, 2.0, 3.4, 2.7, 6.8, 3.3, 1.6, 31.6, 5.4, 3.5, 6.3, 14.9, 9.3, 12.2, 6.5, 7.1, 13.9, 7.3, 3.2, 3.4, 4.0, 7.8, 20.2 states/eV per cell